Entry 1:
MgZnAgGe | PBE | relaxed

The structure in POSCAR format:
```
MgZnAgGe
1.0
-3.560 -0.567 -2.966
0.819 -1.295 -4.410
-1.185 -4.282 -1.434
Zn Mg Ag Ge
1 1 1 1
direct
0.500 0.500 0.500 Zn
0.000 0.000 0.000 Mg
0.250 0.250 0.250 Ag
0.750 0.750 0.750 Ge
```

---

Entry 2:
TlPd4 | PBE | relaxed

The structure in POSCAR format:
```
TlPd4
1.0
5.212 0.000 0.000
0.000 5.212 0.000
0.000 0.000 6.692
Tl Pd
2 8
direct
0.500 0.500 0.500 Tl
0.000 0.000 0.000 Tl
0.256 0.923 0.648 Pd
0.244 0.423 0.852 Pd
0.756 0.577 0.852 Pd
0.923 0.744 0.352 Pd
0.577 0.244 0.148 Pd
0.423 0.756 0.148 Pd
0.744 0.077 0.648 Pd
0.077 0.256 0.352 Pd
```

Properties
ΔE to the lowest computed polymorph   200.4 meV per atom

---

Sequential VASP energy output: -10.3; -45.3 eV for the cell shown